## TbSmOsRh (PBE)

Data for a geometry-optimized TbSmOsRh structure.

POSCAR file:
```
TbSmOsRh
1.0
4.894 0.000 0.000
2.447 4.238 0.000
2.447 1.413 3.996
Tb Rh Os Sm
1 1 1 1
Direct
0.250 0.250 0.250
0.000 0.000 0.000
0.500 0.500 0.500
0.750 0.750 0.750
```

Total energy ... -29.4 eV per formula unit
Density of states at the Fermi level ... 3.62 states/eV/cell

=====

## SmThOsRh (PBE)

Data for a geometry-optimized SmThOsRh structure.

POSCAR file:
```
SmThOsRh
1.0
4.994 0.000 0.000
2.497 4.325 0.000
2.497 1.442 4.077
Rh Os Sm Th
1 1 1 1
Direct
0.000 0.000 0.000
0.500 0.500 0.500
0.750 0.750 0.750
0.250 0.250 0.250
```

Total energy ... -32.5 eV per formula unit
Density of states at the Fermi level ... 1.71 states/eV/cell

=====

## SmYOsRh (PBE)

Data for a geometry-optimized SmYOsRh structure.

POSCAR file:
```
SmYOsRh
1.0
-2.911 3.805 0.986
-3.424 1.358 -3.217
-4.729 -0.735 1.006
Y Rh Os Sm
1 1 1 1
Direct
0.750 0.750 0.750
0.000 0.000 0.000
0.500 0.500 0.500
0.250 0.250 0.250
```

Total energy ... -31.2 eV per formula unit
Density of states at the Fermi level ... 3.48 states/eV/cell

=====

## SnOs2Rh (PBE)

Data for a geometry-optimized SnOs2Rh structure.

POSCAR file:
```
SnOs2Rh
1.0
5.818 0.000 0.000
0.000 5.818 0.000
2.909 2.909 5.668
Rh Os Sn
2 4 2
Direct
0.500 0.500 0.000
0.250 0.750 0.500
0.587 0.125 0.250
0.163 0.625 0.250
0.375 0.413 0.750
0.875 0.837 0.750
0.000 0.000 0.000
0.750 0.250 0.500
```

Total energy ... -28.3 eV per formula unit
Density of states at the Fermi level ... 8.04 states/eV/cell

=====

## Sn2OsRh2 (PBE)

Data for a geometry-optimized Sn2OsRh2 structure.

POSCAR file:
```
Sn2OsRh2
1.0
7.589 0.000 0.000
0.000 7.589 0.000
0.000 0.000 2.986
Rh Os Sn
4 2 4
Direct
0.142 0.642 0.500
0.642 0.858 0.500
0.858 0.358 0.500
0.358 0.142 0.500
0.000 0.000 0.000
0.500 0.500 0.000
0.343 0.843 0.000
0.843 0.657 0.000
0.657 0.157 0.000
0.157 0.343 0.000
```

Offset from the most stable computed form ... 0.0 meV per atom
Total energy ... -33.0 eV per formula unit
Density of states at the Fermi level ... 9.92 states/eV/cell

=====

## Sn2OsRh2 (PBE)

Data for a geometry-optimized Sn2OsRh2 structure.

POSCAR file:
```
Sn2OsRh2
1.0
3.509 0.000 0.000
0.000 3.509 0.000
1.754 1.754 7.593
Rh Os Sn
2 1 2
Direct
0.750 0.250 0.500
0.250 0.750 0.500
0.000 0.000 0.000
0.396 0.396 0.209
0.604 0.604 0.791
```

Offset from the most stable computed form ... 328.2 meV per atom
Total energy ... -31.4 eV per formula unit
Density of states at the Fermi level ... 5.48 states/eV/cell

=====

Q: Which of these has the highest density of states at the Fermi level?
A: number 5

=====

Q: Which value of density of states at the Fermi level does entry 3 give?
A: 3.48 states/eV/cell

=====

Q: Which value of density of states at the Fermi level does entry 1 give?
A: 3.62 states/eV/cell

=====

Q: Among the records above, which one has the lowest density of states at the Fermi level?
A: SmThOsRh